(1)
This record from Alexandria describes a geometry-optimized UGeSe3 structure. The functional is PBE-GGA.

Cell lengths 7.227, 7.227, 7.227 Å; angles 134.32, 93.33, 104.08 degrees
Positions (direct):
U: 0.334 0.084 0.250
U: 0.666 0.916 0.750
Ge: 0.000 0.000 0.500
Ge: 0.000 0.500 0.000
Se: 0.259 0.509 0.750
Se: 0.288 0.000 0.788
Se: 0.288 0.500 0.288
Se: 0.712 0.000 0.212
Se: 0.712 0.500 0.712
Se: 0.741 0.491 0.250

* calculated volume: 247.4 Å³ per cell
* space-group type: Imma, No. 74
* magnetic moment: 4.404 Bohr magnetons per cell
* E_form (uncorrected): -0.395 eV per atom
* crystal system: orthorhombic
* DFT total energy: -56.673 eV/cell

(2)
This record from Alexandria describes a geometry-optimized Sm6Tl6Hg structure. The functional is PBE-GGA.

Cell lengths 6.567, 6.567, 10.664 Å; angles 90.00, 90.00, 120.00 degrees
Positions (direct):
Sm: 0.000 0.000 0.195
Sm: 0.000 0.000 0.805
Sm: 0.333 0.667 0.000
Sm: 0.333 0.667 0.500
Sm: 0.667 0.333 0.000
Sm: 0.667 0.333 0.500
Tl: 0.000 0.500 0.250
Tl: 0.000 0.500 0.750
Tl: 0.500 0.000 0.250
Tl: 0.500 0.000 0.750
Tl: 0.500 0.500 0.250
Tl: 0.500 0.500 0.750
Hg: 0.000 0.000 0.500

* calculated volume: 398.2 Å³ per cell
* space-group type: P6/mmm, No. 191
* magnetic moment: 0.000 Bohr magnetons per cell
* crystal system: hexagonal
* DFT total energy: -45.748 eV/cell

(3)
This record from Alexandria describes a geometry-optimized Re2RhF structure. The functional is PBE-GGA.

Cell lengths 5.297, 5.297, 5.297 Å; angles 104.57, 104.57, 119.78 degrees
Positions (direct):
Re: 0.081 0.625 0.956
Re: 0.375 0.331 0.456
Re: 0.669 0.125 0.044
Re: 0.875 0.919 0.544
Rh: 0.250 0.750 0.500
Rh: 0.500 0.500 0.000
F: 0.000 0.000 0.000
F: 0.750 0.250 0.500

* calculated volume: 111.6 Å³ per cell
* space-group type: I-42d, No. 122
* magnetic moment: 0.000 Bohr magnetons per cell
* E_form (uncorrected): 0.599 eV per atom
* crystal system: tetragonal
* DFT total energy: -63.446 eV/cell

(4)
This record from Alexandria describes a geometry-optimized AlIn2Mo structure. The functional is PBE-GGA.

Cell lengths 2.968, 2.968, 9.115 Å; angles 90.00, 90.00, 90.00 degrees
Positions (direct):
Al: 0.000 0.000 0.000
In: 0.000 0.000 0.569
In: 0.500 0.500 0.262
Mo: 0.500 0.500 0.806

* calculated volume: 80.3 Å³ per cell
* space-group type: P4mm, No. 99
* magnetic moment: 0.000 Bohr magnetons per cell
* crystal system: tetragonal
* DFT total energy: -19.178 eV/cell

(5)
This record from Alexandria describes a geometry-optimized Tb4Pm8Ho structure. The functional is PBE-GGA.

Cell lengths 10.425, 10.425, 10.425 Å; angles 41.03, 41.03, 41.03 degrees
Positions (direct):
Tb: 0.000 0.000 0.000
Tb: 0.000 0.500 0.500
Tb: 0.500 0.000 0.500
Tb: 0.500 0.500 0.000
Pm: 0.203 0.751 0.751
Pm: 0.213 0.213 0.213
Pm: 0.249 0.249 0.797
Pm: 0.249 0.797 0.249
Pm: 0.751 0.203 0.751
Pm: 0.751 0.751 0.203
Pm: 0.787 0.787 0.787
Pm: 0.797 0.249 0.249
Ho: 0.500 0.500 0.500

* calculated volume: 440.8 Å³ per cell
* space-group type: R-3m, No. 166
* magnetic moment: 0.000 Bohr magnetons per cell
* crystal system: trigonal
* DFT total energy: -58.600 eV/cell

(6)
This record from Alexandria describes a geometry-optimized Pm4InAg2Hg structure. The functional is PBE-GGA.

Cell lengths 9.282, 9.282, 9.282 Å; angles 33.51, 33.51, 33.51 degrees
Positions (direct):
Pm: 0.123 0.123 0.123
Pm: 0.373 0.373 0.373
Pm: 0.627 0.627 0.627
Pm: 0.877 0.877 0.877
In: 0.500 0.500 0.500
Ag: 0.246 0.246 0.246
Ag: 0.754 0.754 0.754
Hg: 0.000 0.000 0.000

* calculated volume: 217.1 Å³ per cell
* space-group type: R-3m, No. 166
* magnetic moment: 0.624 Bohr magnetons per cell
* crystal system: trigonal
* DFT total energy: -30.729 eV/cell

Q: The highest magnetic moment belongs to which entry?
A: UGeSe3